# Sr2As2Pb PBE relaxed
data_Sr2As2Pb
_cell_length_a 8.738
_cell_length_b 8.738
_cell_length_c 3.866
_cell_angle_alpha 90.00
_cell_angle_beta 90.00
_cell_angle_gamma 90.00
_symmetry_space_group_name_H-M 'P 4/m b m'
_symmetry_Int_Tables_number 127
_symmetry_space_group_name_Hall '-P 4 2ab'
loop_
_atom_site_label
_atom_site_type_symbol
_atom_site_fract_x
_atom_site_fract_y
_atom_site_fract_z
Sr1 Sr 0.142 0.358 0.000
As1 As 0.162 0.662 0.500
Pb1 Pb 0.000 0.000 0.500
# ΔE to the lowest computed polymorph ... 0.000 eV/atom
# Final energy ... -4.019 eV/atom
# Density of states at the Fermi level ... 0.52 states/eV/atom
# Energy relative to the elements ... -0.7450 eV/atom